A relaxed structure of ScTiNbRu. Source: Alexandria, functional PBE.

abc: 6.511 6.511 6.511
angles: 90.00 90.00 90.00
Space group F-43m (No. 216)
Asymmetric unit:
Sc (0.000, 0.000, 0.000) [4 per cell]
Ti (0.250, 0.250, 0.250) [4 per cell]
Nb (0.000, 0.000, 0.500) [4 per cell]
Ru (0.250, 0.250, 0.750) [4 per cell]

Properties
The total DFT energy (no corrections) comes out at -136.63 eV per cell. The calculation puts the energy of formation at -0.147 eV per atom. The value obtained for the density is 6.9 g cm⁻³.

=====

A relaxed structure of ScNbVRu. Source: Alexandria, functional PBE.

abc: 6.444 6.444 6.444
angles: 90.00 90.00 90.00
Space group F-43m (No. 216)
Asymmetric unit:
Sc (0.000, 0.000, 0.000) [4 per cell]
Nb (0.000, 0.000, 0.500) [4 per cell]
V (0.250, 0.250, 0.250) [4 per cell]
Ru (0.250, 0.250, 0.750) [4 per cell]

Properties
The total DFT energy (no corrections) comes out at -141.61 eV per cell. The calculation puts the energy of formation at -0.151 eV per atom. The value obtained for the density is 7.2 g cm⁻³.

=====

A relaxed structure of ScNb2V2Ru5. Source: Alexandria, functional PBE.

abc: 9.438 9.438 3.528
angles: 90.00 90.00 90.00
Space group P4/mbm (No. 127)
Asymmetric unit:
Sc (0.000, 0.000, 0.000) [2 per cell]
Nb (0.172, 0.328, 0.000) [4 per cell]
V (0.127, 0.627, 0.000) [4 per cell]
Ru (0.000, 0.500, 0.500) [2 per cell]
Ru (0.069, 0.792, 0.500) [8 per cell]

Properties
The total DFT energy (no corrections) comes out at -185.12 eV per cell. The calculation puts the energy of formation at -0.147 eV per atom. The value obtained for the density is 8.9 g cm⁻³.

=====

A relaxed structure of ScNbZn2Ru. Source: Alexandria, functional PBE.

abc: 4.806 4.806 4.632
angles: 90.00 90.00 90.00
Space group P4/mmm (No. 123)
Asymmetric unit:
Sc (0.000, 0.000, 0.000) [1 per cell]
Nb (0.000, 0.000, 0.500) [1 per cell]
Zn (0.000, 0.500, 0.000) [2 per cell]
Ru (0.500, 0.500, 0.500) [1 per cell]

Properties
The total DFT energy (no corrections) comes out at -20.10 eV per cell. The calculation puts the energy of formation at 1.625 eV per atom. The value obtained for the density is 5.7 g cm⁻³.

=====

A relaxed structure of NbRuSe2. Source: Alexandria, functional PBE.

abc: 3.2021 3.2021 25.2918
angles: 90.00 90.00 120.00
Space group R-3m (No. 166, hexagonal axes)
Asymmetric unit:
Nb (0.0000, 0.0000, 0.0000) [3 per cell]
Ru (0.0000, 0.0000, 0.5000) [3 per cell]
Se (0.0000, 0.0000, 0.4060) [6 per cell]

Properties
The total DFT energy (no corrections) comes out at -80.02 eV per cell. As for the energy relative to the elements, uncorrected: -0.090 eV per atom. The value obtained for the density is 7.8 g cm⁻³.

=====

A relaxed structure of NbRuSe2. Source: Alexandria, functional PBE.

abc: 5.784 5.784 10.832
angles: 90.00 90.00 90.00
Space group I-42d (No. 122)
Asymmetric unit:
Nb (0.000, 0.000, 0.000) [4 per cell]
Ru (0.000, 0.000, 0.500) [4 per cell]
Se (0.232, 0.250, 0.625) [8 per cell]

Properties
The total DFT energy (no corrections) comes out at -104.22 eV per cell. As for the energy relative to the elements, uncorrected: 0.065 eV per atom. The value obtained for the density is 6.4 g cm⁻³.

=====

A relaxed structure of Nb2RuSe5. Source: Alexandria, functional PBE.

abc: 5.053 12.957 11.498
angles: 90.00 90.00 90.00
Space group Cmcm (No. 63)
Asymmetric unit:
Nb (0.000, 0.178, 0.031) [8 per cell]
Ru (0.000, 0.196, 0.750) [4 per cell]
Se (0.000, 0.046, 0.617) [8 per cell]
Se (0.000, 0.257, 0.250) [4 per cell]
Se (0.000, 0.340, 0.596) [8 per cell]

Properties
The total DFT energy (no corrections) comes out at -202.33 eV per cell. As for the energy relative to the elements, uncorrected: -0.468 eV per atom. The value obtained for the density is 6.0 g cm⁻³.

=====

A relaxed structure of Nb3RuSe. Source: Alexandria, functional PBE.

abc: 4.832 4.832 4.832
angles: 90.00 90.00 90.00
Space group Pm-3m (No. 221)
Asymmetric unit:
Nb (0.000, 0.000, 0.500) [3 per cell]
Ru (0.000, 0.000, 0.000) [1 per cell]
Se (0.500, 0.500, 0.500) [1 per cell]

Properties
The total DFT energy (no corrections) comes out at -38.19 eV per cell. As for the energy relative to the elements, uncorrected: 0.955 eV per atom. The value obtained for the density is 6.8 g cm⁻³.

=====

A relaxed structure of NbRuSe. Source: Alexandria, functional PBE.

abc: 9.126 3.244 8.824
angles: 90.00 100.08 90.00
Space group C2/m (No. 12)
Asymmetric unit:
Nb (0.158, 0.000, 0.104) [4 per cell]
Ru (0.113, 0.000, 0.816) [4 per cell]
Se (0.105, 0.500, 0.328) [4 per cell]

Properties
The total DFT energy (no corrections) comes out at -92.66 eV per cell. As for the energy relative to the elements, uncorrected: -0.112 eV per atom. The value obtained for the density is 7.0 g cm⁻³.

=====

A relaxed structure of NbRuSe2. Source: Alexandria, functional PBE.

abc: 6.365 6.365 6.365
angles: 90.00 90.00 90.00
Space group Fm-3m (No. 225)
Asymmetric unit:
Nb (0.000, 0.000, 0.000) [4 per cell]
Ru (0.000, 0.000, 0.500) [4 per cell]
Se (0.250, 0.250, 0.250) [8 per cell]

Properties
The total DFT energy (no corrections) comes out at -107.25 eV per cell. As for the energy relative to the elements, uncorrected: -0.125 eV per atom. The value obtained for the density is 9.1 g cm⁻³.